No. 1
VASP calculation (PBE) on crystalline CaReSi2 at its relaxed geometry.

M_tot (μB per cell): 0.000
Electronic total energy (eV per atom): -6.3631
Space-group type: P4mm, No. 99
Formation energy from raw total energies (kcal/mol of atoms): -0.9

Unit cell a=3.2468 b=3.2468 c=6.8186 alpha=90.00 beta=90.00 gamma=90.00
Element x y z (fractional)
Si1 0.5000 0.5000 0.1895
Si2 0.0000 0.0000 0.9710
Ca1 0.0000 0.0000 0.5036
Re1 0.5000 0.5000 0.8359

***

No. 2
VASP calculation (PBE) on crystalline Tl2Ge2I at its relaxed geometry.

M_tot (μB per cell): 0.000
Electronic total energy (eV per atom): -2.9592
Polymorph energy (0 for the lowest one) (meV per atom): 119
Space-group type: P4/mbm, No. 127
Formation energy from raw total energies (kcal/mol of atoms): 3.3

Unit cell a=8.5573 b=8.5573 c=4.0002 alpha=90.00 beta=90.00 gamma=90.00
Element x y z (fractional)
Tl1 0.8018 0.3018 0.5000
Tl2 0.1982 0.6982 0.5000
Tl3 0.3018 0.1982 0.5000
Tl4 0.6982 0.8018 0.5000
Ge1 0.6038 0.1038 0.0000
Ge2 0.1038 0.3962 0.0000
Ge3 0.3962 0.8962 0.0000
Ge4 0.8962 0.6038 0.0000
I1 0.5000 0.5000 0.0000
I2 0.0000 0.0000 0.0000

***

No. 3
VASP calculation (PBE) on crystalline RePIr3 at its relaxed geometry.

M_tot (μB per cell): 0.000
Electronic total energy (eV per atom): -6.9191
DFT formation energy (kJ per mole of atoms): 190.0
Polymorph energy (0 for the lowest one) (meV per atom): 872
Space-group type: Pm-3m, No. 221

Unit cell a=4.7343 b=4.7343 c=4.7343 alpha=90.00 beta=90.00 gamma=90.00
Element x y z (fractional)
Re1 0.0000 0.0000 0.0000
P1 0.5000 0.5000 0.5000
Ir1 0.5000 0.0000 0.0000
Ir2 0.0000 0.0000 0.5000
Ir3 0.0000 0.5000 0.0000

***

No. 4
VASP calculation (PBE) on crystalline DyPaReOs at its relaxed geometry.

M_tot (μB per cell): 0.000
Electronic total energy (eV per atom): -9.5083
DFT formation energy (kJ per mole of atoms): -6.2
Space-group type: F-43m, No. 216

Unit cell a=4.8673 b=4.8673 c=4.8673 alpha=60.00 beta=60.00 gamma=60.00
Element x y z (fractional)
Re1 0.5000 0.5000 0.5000
Os1 0.0000 0.0000 0.0000
Dy1 0.7500 0.7500 0.7500
Pa1 0.2500 0.2500 0.2500

***

No. 5
VASP calculation (PBE) on crystalline TbNd4Sm2Er2 at its relaxed geometry.

M_tot (μB per cell): 0.000
Electronic total energy (eV per atom): -4.6761
DFT formation energy (kJ per mole of atoms): 1.9
Space-group type: C2/m, No. 12

Unit cell a=5.1213 b=8.1026 c=8.0685 alpha=107.56 beta=90.00 gamma=108.42
Element x y z (fractional)
Sm1 0.8884 0.7768 0.3305
Sm2 0.1116 0.2232 0.6695
Nd1 0.7778 0.5557 0.6696
Nd2 0.5547 0.1093 0.3306
Nd3 0.2222 0.4443 0.3304
Nd4 0.4453 0.8907 0.6694
Er1 0.6672 0.3344 0.9997
Er2 0.3328 0.6656 0.0003
Tb1 0.0000 0.0000 0.0000